TbLuNi | PBE | relaxed

Properties
- E_form (eV per atom) = -0.1755
- energy above the lowest structure with this stoichiometry (kJ/mol of formula units) = 28

Cell lengths 3.8921, 3.8921, 6.0453 Å; angles 90.00, 90.00, 120.00 degrees
Space group P3m1 (No. 156)
One atom of each set of equivalent atoms:
Tb1 0.0000 0.0000 0.0000 x1
Lu1 0.3333 0.6667 0.4813 x1
Ni1 0.6667 0.3333 0.2505 x1


TbLuTlNi | PBE | relaxed

Properties
- E_form (eV per atom) = -0.2530

Cell lengths 7.173, 7.173, 7.173 Å; angles 90.00, 90.00, 90.00 degrees
Space group F-43m (No. 216)
One atom of each set of equivalent atoms:
Tb1 0.000 0.000 0.000 x4
Lu1 0.000 0.000 0.500 x4
Tl1 0.250 0.250 0.750 x4
Ni1 0.250 0.250 0.250 x4


Lu2TcNi | PBE | relaxed

Properties
- E_form (eV per atom) = -0.2583

Cell lengths 3.369, 3.369, 6.552 Å; angles 90.00, 90.00, 90.00 degrees
Space group P4/mmm (No. 123)
One atom of each set of equivalent atoms:
Lu1 0.000 0.000 0.249 x2
Tc1 0.500 0.500 0.500 x1
Ni1 0.500 0.500 0.000 x1


LuTcNi4 | PBE | relaxed

Properties
- E_form (eV per atom) = -0.1561

Cell lengths 6.871, 6.871, 6.871 Å; angles 90.00, 90.00, 90.00 degrees
Space group F-43m (No. 216)
One atom of each set of equivalent atoms:
Lu1 0.000 0.000 0.000 x4
Tc1 0.250 0.250 0.750 x4
Ni1 0.125 0.125 0.375 x16


Lu2TcNi | PBE | relaxed

Properties
- E_form (eV per atom) = 0.4854

Cell lengths 3.1861, 3.1861, 27.5973 Å; angles 90.00, 90.00, 120.00 degrees
Space group R-3m (No. 166, hexagonal axes)
One atom of each set of equivalent atoms:
Lu1 0.0000 0.0000 0.0953 x6
Tc1 0.0000 0.0000 0.0000 x3
Ni1 0.0000 0.0000 0.5000 x3


LuThTcNi | PBE | relaxed

Properties
- E_form (eV per atom) = -0.2598

Cell lengths 6.874, 6.874, 6.874 Å; angles 90.00, 90.00, 90.00 degrees
Space group F-43m (No. 216)
One atom of each set of equivalent atoms:
Lu1 0.000 0.000 0.000 x4
Th1 0.000 0.000 0.500 x4
Tc1 0.250 0.250 0.250 x4
Ni1 0.250 0.250 0.750 x4